[1]
A plane-wave DFT calculation with PBE was carried out for a relaxed structure of GdTeO.

Lattice parameters (Å, degrees): 3.7816 3.7816 5.6169 90.00 90.00 120.00
Space group P-6m2 (No. 187)
One atom of each set of equivalent atoms:
Gd 0.0000 0.0000 0.0000 [1 per cell]
Te 0.6667 0.3333 0.5000 [1 per cell]
O 0.3333 0.6667 0.0000 [1 per cell]

## Properties
As for the raw total energy: -28.54 eV/cell. The crystal system is hexagonal. As for the formation energy from raw total energies: -2119.8 meV/atom. For the total magnetization, the calculation gives 6.99 μB per formula unit.



[2]
A plane-wave DFT calculation with PBE was carried out for a relaxed structure of Gd2TeO.

Lattice parameters (Å, degrees): 3.8336 3.8336 20.5579 90.00 90.00 120.00
Space group R-3m (No. 166, hexagonal axes)
One atom of each set of equivalent atoms:
Gd 0.0000 0.0000 0.2277 [6 per cell]
Te 0.0000 0.0000 0.0000 [3 per cell]
O 0.0000 0.0000 0.5000 [3 per cell]

## Properties
As for the raw total energy: -132.01 eV/cell. The crystal system is trigonal. As for the formation energy from raw total energies: -1935.3 meV/atom. For the total magnetization, the calculation gives 14.01 μB per formula unit.



[3]
A plane-wave DFT calculation with PBE was carried out for a relaxed structure of Gd2ThO.

Lattice parameters (Å, degrees): 3.256 3.256 8.687 90.00 90.00 90.00
Space group P4/mmm (No. 123)
One atom of each set of equivalent atoms:
Gd 0.000 0.000 0.176 [2 per cell]
Th 0.500 0.500 0.500 [1 per cell]
O 0.500 0.500 0.000 [1 per cell]

## Properties
As for the energy above the most stable polymorph in this dataset: 45.84 kJ per mole of atoms. As for the raw total energy: -43.96 eV/cell. The crystal system is tetragonal. As for the formation energy from raw total energies: -854.7 meV/atom. For the total magnetization, the calculation gives 15.01 μB per formula unit.



[4]
A plane-wave DFT calculation with PBE was carried out for a relaxed structure of GdThO.

Lattice parameters (Å, degrees): 3.7069 3.7069 5.8009 90.00 90.00 120.00
Space group P3m1 (No. 156)
One atom of each set of equivalent atoms:
Gd 0.0000 0.0000 0.0000 [1 per cell]
Th 0.3333 0.6667 0.4663 [1 per cell]
O 0.6667 0.3333 0.2358 [1 per cell]

## Properties
As for the raw total energy: -31.38 eV/cell. The crystal system is trigonal. As for the formation energy from raw total energies: -1640.5 meV/atom. For the total magnetization, the calculation gives 7.49 μB per formula unit.